(1)
A geometry-optimized Na3MgTa structure. Source: the Alexandria database, functional PBE-GGA.

Cell lengths 5.9460, 5.9460, 5.9460 Å; angles 90.00, 90.00, 90.00 degrees
Last column: nearest neighbours and their distance in Å.
Positions (direct):
Na 0.0000 0.0000 0.5000  2 Ta 2.97
Na 0.0000 0.5000 0.0000  2 Ta 2.97
Na 0.5000 0.0000 0.0000  2 Ta 2.97
Mg 0.5000 0.5000 0.5000  12 Na 4.20
Ta 0.0000 0.0000 0.0000  6 Na 2.97

Values from the calculation:
SG: Pm-3m
Crystal system: cubic
E_form in eV per atom: 1.48
Energy relative to the lowest polymorph listed for this composition in eV/atom: 0.000

=====

(2)
A geometry-optimized NaMgTa3 structure. Source: the Alexandria database, functional PBE-GGA.

Cell lengths 4.7277, 4.7277, 4.7277 Å; angles 90.00, 90.00, 90.00 degrees
Last column: nearest neighbours and their distance in Å.
Positions (direct):
Na 0.0000 0.0000 0.0000  6 Ta 2.36
Mg 0.5000 0.5000 0.5000  12 Ta 3.34
Ta 0.0000 0.0000 0.5000  2 Na 2.36
Ta 0.0000 0.5000 0.0000  2 Na 2.36
Ta 0.5000 0.0000 0.0000  2 Na 2.36

Values from the calculation:
SG: Pm-3m
Crystal system: cubic
E_form in eV per atom: 2.18
Energy relative to the lowest polymorph listed for this composition in eV/atom: 0.098

=====

(3)
A geometry-optimized NaMgTa structure. Source: the Alexandria database, functional PBE-GGA.

Cell lengths 2.9591, 5.2415, 9.0583 Å; angles 90.00, 98.09, 90.00 degrees
Last column: nearest neighbours and their distance in Å.
Positions (direct):
Na 0.0000 0.0000 0.0000  4 Na 2.96-3.31
Na 0.4437 0.5000 0.8437  4 Na 2.96-3.31, 2 Mg 3.19-3.25
Mg 0.1572 0.5000 0.2280  4 Mg 2.96-3.05, 4 Ta 3.20-3.21
Mg 0.7843 0.5000 0.5253  4 Mg 2.96-3.05, 6 Ta 3.05-3.09, 2 Na 3.19-3.25
Ta 0.3114 0.0000 0.5995  4 Ta 2.68-2.96
Ta 0.7054 0.0000 0.3504  4 Ta 2.68-2.96

Values from the calculation:
SG: Pm
Crystal system: monoclinic
E_form in eV per atom: 0.47
Energy relative to the lowest polymorph listed for this composition in eV/atom: 0.254

=====

(4)
A geometry-optimized NaMgTa structure. Source: the Alexandria database, functional PBE-GGA.

Cell lengths 2.8992, 5.6517, 8.4844 Å; angles 75.73, 89.88, 89.93 degrees
Last column: nearest neighbours and their distance in Å.
Positions (direct):
Na 0.0000 0.0000 0.0000  6 Na 2.90-3.18
Na 0.4997 0.4977 0.0039  6 Na 2.90-3.18, 1 Mg 3.24
Mg 0.4950 0.0895 0.3470  4 Mg 2.90-3.06, 5 Ta 3.09-3.23, 1 Na 3.24
Mg 0.9937 0.8218 0.6569  4 Mg 2.90-3.06, 5 Ta 3.09-3.23
Ta 0.4940 0.3410 0.6319  4 Ta 2.70-2.90
Ta 0.9949 0.5719 0.3709  4 Ta 2.70-2.90

Values from the calculation:
SG: P1
Crystal system: triclinic
E_form in eV per atom: 0.47
Energy relative to the lowest polymorph listed for this composition in eV/atom: 0.258

=====

Which value of energy relative to the lowest polymorph listed for this composition does entry 3 give? 0.254 eV/atom